# 1
The following is a DFT calculation (PBE-GGA) of a relaxed Tl4IrW crystal.

Summary:
magnetization = 4.70 μB/f.u.
DOS at the Fermi energy = 0.87 states/eV per atom
crystal system = cubic
energy of formation = 1610 meV per atom

The structure in CIF format:
```
data_Tl4IrW
_symmetry_space_group_name_H-M 'F -4 3 m'
_symmetry_Int_Tables_number 216
_symmetry_space_group_name_Hall 'F -4 2 3'
_cell_length_a 8.476
_cell_length_b 8.476
_cell_length_c 8.476
_cell_angle_alpha 90.00
_cell_angle_beta 90.00
_cell_angle_gamma 90.00
loop_
_atom_site_label
_atom_site_fract_x
_atom_site_fract_y
_atom_site_fract_z
Tl1 0.125 0.125 0.125
Ir1 0.000 0.000 0.500
W1 0.250 0.250 0.750
```


# 2
The following is a DFT calculation (PBE-GGA) of a relaxed TlIrW2 crystal.

Summary:
magnetization = 0.00 μB/f.u.
DOS at the Fermi energy = 0.71 states/eV per atom
energy above the lowest structure with this stoichiometry = 0.275 eV per atom
crystal system = orthorhombic
energy of formation = 690 meV per atom

The structure in CIF format:
```
data_TlIrW2
_symmetry_space_group_name_H-M 'C m m m'
_symmetry_Int_Tables_number 65
_symmetry_space_group_name_Hall '-C 2 2'
_cell_length_a 5.483
_cell_length_b 8.712
_cell_length_c 2.845
_cell_angle_alpha 90.00
_cell_angle_beta 90.00
_cell_angle_gamma 90.00
loop_
_atom_site_label
_atom_site_fract_x
_atom_site_fract_y
_atom_site_fract_z
Tl1 0.000 0.000 0.000
Ir1 0.000 0.500 0.000
W1 0.250 0.250 0.500
```


# 3
The following is a DFT calculation (PBE-GGA) of a relaxed TlIrW2 crystal.

Summary:
magnetization = 0.00 μB/f.u.
DOS at the Fermi energy = 0.67 states/eV per atom
energy above the lowest structure with this stoichiometry = 0.232 eV per atom
crystal system = orthorhombic
energy of formation = 648 meV per atom

The structure in CIF format:
```
data_TlIrW2
_symmetry_space_group_name_H-M 'I m m 2'
_symmetry_Int_Tables_number 44
_symmetry_space_group_name_Hall 'I 2 -2'
_cell_length_a 4.099
_cell_length_b 4.137
_cell_length_c 8.023
_cell_angle_alpha 90.00
_cell_angle_beta 90.00
_cell_angle_gamma 90.00
loop_
_atom_site_label
_atom_site_fract_x
_atom_site_fract_y
_atom_site_fract_z
Tl1 0.000 0.000 0.000
Ir1 0.000 0.500 0.750
W1 0.000 0.000 0.514
W2 0.000 0.500 0.249
```


# 4
The following is a DFT calculation (PBE-GGA) of a relaxed TlIrW2 crystal.

Summary:
magnetization = 0.00 μB/f.u.
DOS at the Fermi energy = 0.48 states/eV per atom
energy above the lowest structure with this stoichiometry = 0.082 eV per atom
crystal system = tetragonal
energy of formation = 498 meV per atom

The structure in CIF format:
```
data_TlIrW2
_symmetry_space_group_name_H-M 'P 4/m m m'
_symmetry_Int_Tables_number 123
_symmetry_space_group_name_Hall '-P 4 2'
_cell_length_a 2.828
_cell_length_b 2.828
_cell_length_c 8.547
_cell_angle_alpha 90.00
_cell_angle_beta 90.00
_cell_angle_gamma 90.00
loop_
_atom_site_label
_atom_site_fract_x
_atom_site_fract_y
_atom_site_fract_z
Tl1 0.000 0.000 0.000
Ir1 0.000 0.000 0.500
W1 0.500 0.500 0.273
```


# 5
The following is a DFT calculation (PBE-GGA) of a relaxed TlIrW2 crystal.

Summary:
magnetization = 0.00 μB/f.u.
DOS at the Fermi energy = 0.82 states/eV per atom
energy above the lowest structure with this stoichiometry = 0.134 eV per atom
crystal system = orthorhombic
energy of formation = 550 meV per atom

The structure in CIF format:
```
data_TlIrW2
_symmetry_space_group_name_H-M 'P m m m'
_symmetry_Int_Tables_number 47
_symmetry_space_group_name_Hall '-P 2 2'
_cell_length_a 2.821
_cell_length_b 4.119
_cell_length_c 6.013
_cell_angle_alpha 90.00
_cell_angle_beta 90.00
_cell_angle_gamma 90.00
loop_
_atom_site_label
_atom_site_fract_x
_atom_site_fract_y
_atom_site_fract_z
Tl1 0.000 0.000 0.000
Ir1 0.000 0.000 0.500
W1 0.500 0.500 0.289
```


# 6
The following is a DFT calculation (PBE-GGA) of a relaxed YTlIr crystal.

Summary:
magnetization = 0.00 μB/f.u.
DOS at the Fermi energy = 0.43 states/eV per atom
crystal system = cubic
energy of formation = -358 meV per atom

The structure in CIF format:
```
data_YTlIr
_symmetry_space_group_name_H-M 'F -4 3 m'
_symmetry_Int_Tables_number 216
_symmetry_space_group_name_Hall 'F -4 2 3'
_cell_length_a 6.685
_cell_length_b 6.685
_cell_length_c 6.685
_cell_angle_alpha 90.00
_cell_angle_beta 90.00
_cell_angle_gamma 90.00
loop_
_atom_site_label
_atom_site_fract_x
_atom_site_fract_y
_atom_site_fract_z
Y1 0.000 0.000 0.000
Tl1 0.000 0.000 0.500
Ir1 0.250 0.250 0.750
```


# 7
The following is a DFT calculation (PBE-GGA) of a relaxed Y11Tl9Ir4 crystal.

Summary:
magnetization = 0.00 μB/f.u.
DOS at the Fermi energy = 0.52 states/eV per atom
crystal system = orthorhombic
energy of formation = -544 meV per atom

The structure in CIF format:
```
data_Y11Tl9Ir4
_symmetry_space_group_name_H-M 'C m m m'
_symmetry_Int_Tables_number 65
_symmetry_space_group_name_Hall '-C 2 2'
_cell_length_a 14.738
_cell_length_b 22.040
_cell_length_c 3.730
_cell_angle_alpha 90.00
_cell_angle_beta 90.00
_cell_angle_gamma 90.00
loop_
_atom_site_label
_atom_site_fract_x
_atom_site_fract_y
_atom_site_fract_z
Y1 0.000 0.000 0.000
Y2 0.000 0.164 0.000
Y3 0.000 0.374 0.000
Y4 0.188 0.500 0.000
Y5 0.250 0.167 0.000
Tl1 0.000 0.500 0.500
Tl2 0.109 0.260 0.500
Tl3 0.142 0.073 0.500
Ir1 0.151 0.399 0.500
```


# 8
The following is a DFT calculation (PBE-GGA) of a relaxed YTl2Ir crystal.

Summary:
magnetization = 0.00 μB/f.u.
DOS at the Fermi energy = 0.33 states/eV per atom
crystal system = monoclinic
energy of formation = -207 meV per atom

The structure in CIF format:
```
data_YTl2Ir
_symmetry_space_group_name_H-M 'P 1 m 1'
_symmetry_Int_Tables_number 6
_symmetry_space_group_name_Hall 'P -2y'
_cell_length_a 3.947
_cell_length_b 3.812
_cell_length_c 7.145
_cell_angle_alpha 90.00
_cell_angle_beta 105.73
_cell_angle_gamma 90.00
loop_
_atom_site_label
_atom_site_fract_x
_atom_site_fract_y
_atom_site_fract_z
Y1 0.000 0.000 0.000
Tl1 0.290 0.000 0.582
Tl2 0.656 0.500 0.313
Ir1 0.451 0.500 0.900
```


# 9
The following is a DFT calculation (PBE-GGA) of a relaxed Y6Tl2Ir crystal.

Summary:
magnetization = 0.00 μB/f.u.
DOS at the Fermi energy = 1.13 states/eV per atom
energy above the lowest structure with this stoichiometry = 0.094 eV per atom
crystal system = monoclinic
energy of formation = -348 meV per atom

The structure in CIF format:
```
data_Y6Tl2Ir
_symmetry_space_group_name_H-M 'P 1 21/c 1'
_symmetry_Int_Tables_number 14
_symmetry_space_group_name_Hall '-P 2ybc'
_cell_length_a 6.171
_cell_length_b 8.589
_cell_length_c 11.495
_cell_angle_alpha 90.00
_cell_angle_beta 120.12
_cell_angle_gamma 90.00
loop_
_atom_site_label
_atom_site_fract_x
_atom_site_fract_y
_atom_site_fract_z
Y1 0.061 0.186 0.446
Y2 0.331 0.673 0.445
Y3 0.368 0.029 0.261
Tl1 0.169 0.121 0.749
Ir1 0.000 0.000 0.000
```


# 10
The following is a DFT calculation (PBE-GGA) of a relaxed YTlIr crystal.

Summary:
magnetization = 0.00 μB/f.u.
DOS at the Fermi energy = 0.50 states/eV per atom
crystal system = orthorhombic
energy of formation = -449 meV per atom

The structure in CIF format:
```
data_YTlIr
_symmetry_space_group_name_H-M 'P n m a'
_symmetry_Int_Tables_number 62
_symmetry_space_group_name_Hall '-P 2ac 2n'
_cell_length_a 7.187
_cell_length_b 4.229
_cell_length_c 8.804
_cell_angle_alpha 90.00
_cell_angle_beta 90.00
_cell_angle_gamma 90.00
loop_
_atom_site_label
_atom_site_fract_x
_atom_site_fract_y
_atom_site_fract_z
Y1 0.037 0.250 0.177
Tl1 0.148 0.250 0.563
Ir1 0.238 0.250 0.870
```


# 11
The following is a DFT calculation (PBE-GGA) of a relaxed YTl2Ir crystal.

Summary:
magnetization = 0.38 μB/f.u.
DOS at the Fermi energy = 0.86 states/eV per atom
crystal system = orthorhombic
energy of formation = 77 meV per atom

The structure in CIF format:
```
data_YTl2Ir
_symmetry_space_group_name_H-M 'P m m m'
_symmetry_Int_Tables_number 47
_symmetry_space_group_name_Hall '-P 2 2'
_cell_length_a 3.484
_cell_length_b 3.590
_cell_length_c 7.158
_cell_angle_alpha 90.00
_cell_angle_beta 90.00
_cell_angle_gamma 90.00
loop_
_atom_site_label
_atom_site_fract_x
_atom_site_fract_y
_atom_site_fract_z
Y1 0.000 0.000 0.000
Tl1 0.500 0.500 0.286
Ir1 0.000 0.000 0.500
```


# 12
The following is a DFT calculation (PBE-GGA) of a relaxed Y8Tl2Ir3 crystal.

Summary:
magnetization = 0.00 μB/f.u.
DOS at the Fermi energy = 0.78 states/eV per atom
crystal system = monoclinic
energy of formation = -493 meV per atom

The structure in CIF format:
```
data_Y8Tl2Ir3
_symmetry_space_group_name_H-M 'P 1 2/m 1'
_symmetry_Int_Tables_number 10
_symmetry_space_group_name_Hall '-P 2y'
_cell_length_a 8.840
_cell_length_b 4.946
_cell_length_c 8.843
_cell_angle_alpha 90.00
_cell_angle_beta 111.85
_cell_angle_gamma 90.00
loop_
_atom_site_label
_atom_site_fract_x
_atom_site_fract_y
_atom_site_fract_z
Y1 0.111 0.000 0.389
Y2 0.142 0.500 0.867
Y3 0.367 0.500 0.642
Y4 0.385 0.000 0.115
Tl1 0.243 0.500 0.257
Ir1 0.248 0.000 0.748
Ir2 0.500 0.500 0.000
```


# 13
The following is a DFT calculation (PBE-GGA) of a relaxed Y4Tl2Ir crystal.

Summary:
magnetization = 0.00 μB/f.u.
DOS at the Fermi energy = 0.65 states/eV per atom
crystal system = tetragonal
energy of formation = -290 meV per atom

The structure in CIF format:
```
data_Y4Tl2Ir
_symmetry_space_group_name_H-M 'I 4/m m m'
_symmetry_Int_Tables_number 139
_symmetry_space_group_name_Hall '-I 4 2'
_cell_length_a 5.388
_cell_length_b 5.388
_cell_length_c 15.208
_cell_angle_alpha 90.00
_cell_angle_beta 90.00
_cell_angle_gamma 90.00
loop_
_atom_site_label
_atom_site_fract_x
_atom_site_fract_y
_atom_site_fract_z
Y1 0.000 0.000 0.178
Y2 0.000 0.500 0.000
Tl1 0.000 0.000 0.378
Ir1 0.000 0.000 0.000
```


# 14
The following is a DFT calculation (PBE-GGA) of a relaxed YTl2Ir crystal.

Summary:
magnetization = 0.00 μB/f.u.
DOS at the Fermi energy = 0.39 states/eV per atom
crystal system = monoclinic
energy of formation = -124 meV per atom

The structure in CIF format:
```
data_YTl2Ir
_symmetry_space_group_name_H-M 'C 1 m 1'
_symmetry_Int_Tables_number 8
_symmetry_space_group_name_Hall 'C -2y'
_cell_length_a 9.598
_cell_length_b 4.216
_cell_length_c 5.960
_cell_angle_alpha 90.00
_cell_angle_beta 124.79
_cell_angle_gamma 90.00
loop_
_atom_site_label
_atom_site_fract_x
_atom_site_fract_y
_atom_site_fract_z
Y1 0.000 0.000 0.000
Tl1 0.183 0.000 0.669
Tl2 0.398 0.000 0.324
Ir1 0.220 0.500 0.373
```


# 15
The following is a DFT calculation (PBE-GGA) of a relaxed YTl4Ir crystal.

Summary:
magnetization = 0.00 μB/f.u.
DOS at the Fermi energy = 0.89 states/eV per atom
crystal system = cubic
energy of formation = 546 meV per atom

The structure in CIF format:
```
data_YTl4Ir
_symmetry_space_group_name_H-M 'F -4 3 m'
_symmetry_Int_Tables_number 216
_symmetry_space_group_name_Hall 'F -4 2 3'
_cell_length_a 8.576
_cell_length_b 8.576
_cell_length_c 8.576
_cell_angle_alpha 90.00
_cell_angle_beta 90.00
_cell_angle_gamma 90.00
loop_
_atom_site_label
_atom_site_fract_x
_atom_site_fract_y
_atom_site_fract_z
Y1 0.000 0.000 0.000
Tl1 0.124 0.124 0.376
Ir1 0.250 0.250 0.750
```


# 16
The following is a DFT calculation (PBE-GGA) of a relaxed YTl2Ir crystal.

Summary:
magnetization = 0.00 μB/f.u.
DOS at the Fermi energy = 0.37 states/eV per atom
crystal system = cubic
energy of formation = -64 meV per atom

The structure in CIF format:
```
data_YTl2Ir
_symmetry_space_group_name_H-M 'F m -3 m'
_symmetry_Int_Tables_number 225
_symmetry_space_group_name_Hall '-F 4 2 3'
_cell_length_a 7.015
_cell_length_b 7.015
_cell_length_c 7.015
_cell_angle_alpha 90.00
_cell_angle_beta 90.00
_cell_angle_gamma 90.00
loop_
_atom_site_label
_atom_site_fract_x
_atom_site_fract_y
_atom_site_fract_z
Y1 0.000 0.000 0.000
Tl1 0.250 0.250 0.250
Ir1 0.000 0.000 0.500
```


# 17
The following is a DFT calculation (PBE-GGA) of a relaxed Y6TlIr2 crystal.

Summary:
magnetization = 0.00 μB/f.u.
DOS at the Fermi energy = 0.89 states/eV per atom
crystal system = orthorhombic
energy of formation = -577 meV per atom

The structure in CIF format:
```
data_Y6TlIr2
_symmetry_space_group_name_H-M 'I m m m'
_symmetry_Int_Tables_number 71
_symmetry_space_group_name_Hall '-I 2 2'
_cell_length_a 9.462
_cell_length_b 9.723
_cell_length_c 10.405
_cell_angle_alpha 90.00
_cell_angle_beta 90.00
_cell_angle_gamma 90.00
loop_
_atom_site_label
_atom_site_fract_x
_atom_site_fract_y
_atom_site_fract_z
Y1 0.000 0.206 0.239
Y2 0.191 0.500 0.170
Y3 0.216 0.317 0.500
Tl1 0.000 0.000 0.000
Tl2 0.000 0.000 0.500
Ir1 0.000 0.337 0.000
Ir2 0.000 0.500 0.372
```


# 18
The following is a DFT calculation (PBE-GGA) of a relaxed YTl2Ir crystal.

Summary:
magnetization = 0.00 μB/f.u.
DOS at the Fermi energy = 0.70 states/eV per atom
crystal system = tetragonal
energy of formation = -39 meV per atom

The structure in CIF format:
```
data_YTl2Ir
_symmetry_space_group_name_H-M 'I -4 m 2'
_symmetry_Int_Tables_number 119
_symmetry_space_group_name_Hall 'I -4 -2'
_cell_length_a 4.663
_cell_length_b 4.663
_cell_length_c 8.347
_cell_angle_alpha 90.00
_cell_angle_beta 90.00
_cell_angle_gamma 90.00
loop_
_atom_site_label
_atom_site_fract_x
_atom_site_fract_y
_atom_site_fract_z
Y1 0.000 0.000 0.000
Tl1 0.000 0.000 0.500
Tl2 0.000 0.500 0.250
Ir1 0.000 0.500 0.750
```


# 19
The following is a DFT calculation (PBE-GGA) of a relaxed YTl2Ir crystal.

Summary:
magnetization = 0.00 μB/f.u.
DOS at the Fermi energy = 0.74 states/eV per atom
crystal system = trigonal
energy of formation = 226 meV per atom

The structure in CIF format:
```
data_YTl2Ir
_symmetry_space_group_name_H-M 'R -3 m'
_symmetry_Int_Tables_number 166
_symmetry_space_group_name_Hall '-R 3 2"'
_cell_length_a 3.4830
_cell_length_b 3.4830
_cell_length_c 27.3680
_cell_angle_alpha 90.00
_cell_angle_beta 90.00
_cell_angle_gamma 120.00
loop_
_atom_site_label
_atom_site_fract_x
_atom_site_fract_y
_atom_site_fract_z
Y1 0.0000 0.0000 0.0000
Tl1 0.0000 0.0000 0.2386
Ir1 0.0000 0.0000 0.5000
```


# 20
The following is a DFT calculation (PBE-GGA) of a relaxed Y5TlIr crystal.

Summary:
magnetization = 0.00 μB/f.u.
DOS at the Fermi energy = 1.14 states/eV per atom
crystal system = monoclinic
energy of formation = -272 meV per atom

The structure in CIF format:
```
data_Y5TlIr
_symmetry_space_group_name_H-M 'C 1 2/c 1'
_symmetry_Int_Tables_number 15
_symmetry_space_group_name_Hall '-C 2yc'
_cell_length_a 9.416
_cell_length_b 7.504
_cell_length_c 11.811
_cell_angle_alpha 90.00
_cell_angle_beta 105.69
_cell_angle_gamma 90.00
loop_
_atom_site_label
_atom_site_fract_x
_atom_site_fract_y
_atom_site_fract_z
Y1 0.000 0.004 0.250
Y2 0.120 0.332 0.560
Y3 0.250 0.171 0.125
Tl1 0.000 0.413 0.250
Ir1 0.000 0.000 0.000
```